# ThZn4Ru2

An optimized crystal structure of ThZn4Ru2 (PBE-GGA, Alexandria via LeMat-Bulk).

a = 3.8020 Å, b = 7.9622 Å, c = 7.9622 Å
α = 90.00°, β = 90.00°, γ = 90.00°
Atoms (fractional coordinates):
Th  0.5000  0.0000  0.0000
Th  0.0000  0.5000  0.5000
Zn  0.0000  0.0976  0.3523
Zn  0.0000  0.9024  0.6477
Zn  0.5000  0.1477  0.5976
Zn  0.5000  0.8523  0.4024
Zn  0.5000  0.4024  0.8523
Zn  0.5000  0.5976  0.1477
Zn  0.0000  0.3523  0.0976
Zn  0.0000  0.6477  0.9024
Ru  0.0000  0.1813  0.8187
Ru  0.0000  0.8187  0.1813
Ru  0.5000  0.6813  0.6813
Ru  0.5000  0.3187  0.3187

## Properties
Total magnetization ... 0.0 μB/f.u.
Calculated formation energy ... -1.8 eV per formula unit


# Ho12InPd6

An optimized crystal structure of Ho12InPd6 (PBE-GGA, Alexandria via LeMat-Bulk).

a = 8.5841 Å, b = 8.5841 Å, c = 8.5841 Å
α = 109.47°, β = 109.47°, γ = 109.47°
Atoms (fractional coordinates):
Ho  0.2963  0.1129  0.8165
Ho  0.2963  0.4798  0.1835
Ho  0.7037  0.5202  0.8165
Ho  0.7037  0.8871  0.1835
Ho  0.1129  0.8165  0.2963
Ho  0.4798  0.1835  0.2963
Ho  0.5202  0.8165  0.7037
Ho  0.8871  0.1835  0.7037
Ho  0.8165  0.2963  0.1129
Ho  0.1835  0.2963  0.4798
Ho  0.8165  0.7037  0.5202
Ho  0.1835  0.7037  0.8871
In  0.0000  0.0000  0.0000
Pd  0.3628  0.5000  0.8628
Pd  0.6372  0.5000  0.1372
Pd  0.5000  0.8628  0.3628
Pd  0.5000  0.1372  0.6372
Pd  0.8628  0.3628  0.5000
Pd  0.1372  0.6372  0.5000

## Properties
Total magnetization ... 0.0 μB/f.u.
Polymorph energy (0 for the lowest one) ... 0 meV per atom
Calculated formation energy ... -12.0 eV per formula unit


# PmNd5Sc

An optimized crystal structure of PmNd5Sc (PBE-GGA, Alexandria via LeMat-Bulk).

a = 5.3708 Å, b = 5.3708 Å, c = 8.6210 Å
α = 90.00°, β = 90.00°, γ = 90.00°
Atoms (fractional coordinates):
Pm  0.0000  0.0000  0.0000
Nd  0.5000  0.5000  0.0000
Nd  0.5000  0.0000  0.2893
Nd  0.0000  0.5000  0.2893
Nd  0.5000  0.0000  0.7107
Nd  0.0000  0.5000  0.7107
Sc  0.0000  0.0000  0.5000

## Properties
Total magnetization ... 0.0 μB/f.u.
Calculated formation energy ... 1.7 eV per formula unit


# MnSi2WS

An optimized crystal structure of MnSi2WS (PBE-GGA, Alexandria via LeMat-Bulk).

a = 4.4554 Å, b = 3.8848 Å, c = 4.4554 Å
α = 90.00°, β = 90.00°, γ = 90.00°
Atoms (fractional coordinates):
S  0.0000  0.0000  0.0000
Mn  0.0000  0.5000  0.0000
Si  0.0000  0.0000  0.5000
Si  0.5000  0.0000  0.0000
W  0.5000  0.5000  0.5000

## Properties
Total magnetization ... 0.0 μB/f.u.
Raw formation energy ... 1105 meV per atom


# LiTmTcMo

An optimized crystal structure of LiTmTcMo (PBE-GGA, Alexandria via LeMat-Bulk).

a = 4.5735 Å, b = 4.5735 Å, c = 4.5735 Å
α = 60.00°, β = 60.00°, γ = 60.00°
Atoms (fractional coordinates):
Mo  0.2500  0.2500  0.2500
Tm  0.7500  0.7500  0.7500
Tc  0.5000  0.5000  0.5000
Li  0.0000  0.0000  0.0000

## Properties
Total magnetization ... 0.0 μB/f.u.
Calculated formation energy ... 0.5 eV per formula unit


# CsSc2NiW

An optimized crystal structure of CsSc2NiW (PBE-GGA, Alexandria via LeMat-Bulk).

a = 4.9638 Å, b = 5.6628 Å, c = 4.9638 Å
α = 90.00°, β = 90.00°, γ = 90.00°
Atoms (fractional coordinates):
Cs  0.0000  0.5000  0.0000
Ni  0.0000  0.0000  0.0000
Sc  0.0000  0.0000  0.5000
Sc  0.5000  0.0000  0.0000
W  0.5000  0.5000  0.5000

## Properties
Total magnetization ... 4.4 μB/f.u.
Calculated formation energy ... 7.4 eV per formula unit


# Al2FeRh

An optimized crystal structure of Al2FeRh (PBE-GGA, Alexandria via LeMat-Bulk).

a = 4.2603 Å, b = 4.2603 Å, c = 4.2603 Å
α = 60.00°, β = 60.00°, γ = 60.00°
Atoms (fractional coordinates):
Rh  0.2500  0.2500  0.2500
Fe  0.5000  0.5000  0.5000
Al  0.0000  0.0000  0.0000
Al  0.7500  0.7500  0.7500

## Properties
Total magnetization ... 2.6 μB/f.u.
Calculated formation energy ... -1.3 eV per formula unit


# Tl3GaPb12

An optimized crystal structure of Tl3GaPb12 (PBE-GGA, Alexandria via LeMat-Bulk).

a = 4.8938 Å, b = 4.8938 Å, c = 20.5491 Å
α = 90.00°, β = 90.00°, γ = 90.00°
Atoms (fractional coordinates):
Tl  0.0000  0.0000  0.2465
Tl  0.0000  0.0000  0.5000
Tl  0.0000  0.0000  0.7535
Ga  0.0000  0.0000  0.0000
Pb  0.5000  0.5000  0.0000
Pb  0.5000  0.5000  0.2477
Pb  0.5000  0.5000  0.5000
Pb  0.5000  0.5000  0.7523
Pb  0.5000  0.0000  0.1189
Pb  0.5000  0.0000  0.3732
Pb  0.5000  0.0000  0.6268
Pb  0.5000  0.0000  0.8811
Pb  0.0000  0.5000  0.1189
Pb  0.0000  0.5000  0.3732
Pb  0.0000  0.5000  0.6268
Pb  0.0000  0.5000  0.8811

## Properties
Total magnetization ... 0.0 μB/f.u.
Calculated formation energy ... 0.2 eV per formula unit


# Ba2PuGeSe5

An optimized crystal structure of Ba2PuGeSe5 (PBE-GGA, Alexandria via LeMat-Bulk).

a = 4.4821 Å, b = 9.7444 Å, c = 13.1972 Å
α = 90.00°, β = 90.00°, γ = 103.30°
Atoms (fractional coordinates):
Ba  0.8752  0.7504  0.8300
Ba  0.1208  0.2415  0.6871
Ba  0.1248  0.2496  0.3300
Ba  0.8792  0.7585  0.1871
Pu  0.7982  0.5964  0.5266
Pu  0.2018  0.4036  0.0266
Ge  0.5551  0.1102  0.9353
Ge  0.4449  0.8898  0.4353
Se  0.3511  0.7022  0.0101
Se  0.6813  0.3626  0.8758
Se  0.4993  0.9986  0.7707
Se  0.2988  0.5977  0.6685
Se  0.9597  0.9194  0.5199
Se  0.6489  0.2978  0.5101
Se  0.3187  0.6374  0.3758
Se  0.5007  0.0014  0.2707
Se  0.7012  0.4023  0.1685
Se  0.0403  0.0806  0.0199

## Properties
Total magnetization ... 5.2 μB/f.u.
Raw formation energy ... -1403 meV per atom


# ThGe2W

An optimized crystal structure of ThGe2W (PBE-GGA, Alexandria via LeMat-Bulk).

a = 4.8251 Å, b = 4.8251 Å, c = 4.7845 Å
α = 59.72°, β = 59.72°, γ = 60.00°
Atoms (fractional coordinates):
Ge  0.2482  0.2482  0.2555
Ge  0.7518  0.7518  0.7445
W  0.0000  0.0000  0.0000
Th  0.5000  0.5000  0.5000

## Properties
Total magnetization ... 0.0 μB/f.u.
Calculated formation energy ... -0.1 eV per formula unit


# Sm4TeI5

An optimized crystal structure of Sm4TeI5 (PBE-GGA, Alexandria via LeMat-Bulk).

a = 4.3305 Å, b = 9.1013 Å, c = 9.9092 Å
α = 102.51°, β = 102.62°, γ = 90.00°
Atoms (fractional coordinates):
Sm  0.6558  0.0648  0.3116
Sm  0.9981  0.2233  0.9962
Sm  0.3442  0.9352  0.6884
Sm  0.0019  0.7767  0.0038
Te  0.5000  0.0000  0.0000
I  0.1657  0.3254  0.3313
I  0.1725  0.8124  0.3451
I  0.8275  0.1876  0.6549
I  0.5000  0.5000  0.0000
I  0.8343  0.6746  0.6687

## Properties
Total magnetization ... 0.0 μB/f.u.
Raw formation energy ... -1210 meV per atom


# ZnFe2Mo

An optimized crystal structure of ZnFe2Mo (PBE-GGA, Alexandria via LeMat-Bulk).

a = 4.2081 Å, b = 4.2081 Å, c = 4.2081 Å
α = 60.00°, β = 60.00°, γ = 60.00°
Atoms (fractional coordinates):
Fe  0.0000  0.0000  0.0000
Fe  0.2500  0.2500  0.2500
Mo  0.5000  0.5000  0.5000
Zn  0.7500  0.7500  0.7500

## Properties
Total magnetization ... 4.1 μB/f.u.
Calculated formation energy ... 0.7 eV per formula unit


# Zr2InMo

An optimized crystal structure of Zr2InMo (PBE-GGA, Alexandria via LeMat-Bulk).

a = 4.8463 Å, b = 4.8463 Å, c = 4.8463 Å
α = 60.00°, β = 60.00°, γ = 60.00°
Atoms (fractional coordinates):
In  0.5000  0.5000  0.5000
Mo  0.2500  0.2500  0.2500
Zr  0.0000  0.0000  0.0000
Zr  0.7500  0.7500  0.7500

## Properties
Total magnetization ... 0.0 μB/f.u.
Calculated formation energy ... 0.3 eV per formula unit


# Ba8P3BrCl4

An optimized crystal structure of Ba8P3BrCl4 (PBE-GGA, Alexandria via LeMat-Bulk).

a = 9.3245 Å, b = 9.2751 Å, c = 9.3258 Å
α = 120.17°, β = 120.00°, γ = 90.00°
Atoms (fractional coordinates):
Ba  0.2529  0.7328  0.9799
Ba  0.2529  0.7328  0.5058
Ba  0.2572  0.2716  0.5145
Ba  0.7270  0.7328  0.9799
Ba  0.2730  0.2672  0.0201
Ba  0.7428  0.7284  0.4855
Ba  0.7471  0.2672  0.4942
Ba  0.7471  0.2672  0.0201
P  0.5000  0.5000  0.0000
P  0.5000  0.5000  0.5000
P  0.0000  0.5000  0.5000
Br  0.0000  0.5000  0.0000
Cl  0.5000  0.0000  0.0000
Cl  0.5000  0.0000  0.5000
Cl  0.0000  0.0000  0.0000
Cl  0.0000  0.0000  0.5000

## Properties
Total magnetization ... 0.0 μB/f.u.
Raw formation energy ... -1681 meV per atom


# Hf12ReSn6

An optimized crystal structure of Hf12ReSn6 (PBE-GGA, Alexandria via LeMat-Bulk).

a = 7.9205 Å, b = 7.9205 Å, c = 7.9205 Å
α = 100.43°, β = 100.43°, γ = 100.43°
Atoms (fractional coordinates):
Hf  0.7837  0.5982  0.4824
Hf  0.4824  0.7837  0.5982
Hf  0.5982  0.4824  0.7837
Hf  0.2163  0.4018  0.5176
Hf  0.5176  0.2163  0.4018
Hf  0.4018  0.5176  0.2163
Hf  0.0617  0.0121  0.3264
Hf  0.9879  0.6736  0.9383
Hf  0.6736  0.9383  0.9879
Hf  0.9383  0.9879  0.6736
Hf  0.0121  0.3264  0.0617
Hf  0.3264  0.0617  0.0121
Re  0.0000  0.0000  0.0000
Sn  0.6649  0.8911  0.3350
Sn  0.6650  0.3351  0.1089
Sn  0.1089  0.6650  0.3351
Sn  0.3351  0.1089  0.6650
Sn  0.3350  0.6649  0.8911
Sn  0.8911  0.3350  0.6649

## Properties
Total magnetization ... 0.0 μB/f.u.
Calculated formation energy ... 1.7 eV per formula unit


# ZrTl2Rh

An optimized crystal structure of ZrTl2Rh (PBE-GGA, Alexandria via LeMat-Bulk).

a = 5.3970 Å, b = 5.3970 Å, c = 3.1560 Å
α = 89.74°, β = 89.74°, γ = 112.81°
Atoms (fractional coordinates):
Rh  0.0000  0.5000  0.5000
Tl  0.0000  0.0000  0.0000
Tl  0.5000  0.5000  0.0000
Zr  0.5000  0.0000  0.5000

## Properties
Total magnetization ... 0.0 μB/f.u.
Calculated formation energy ... 0.6 eV per formula unit


# Ac2GaNi5

An optimized crystal structure of Ac2GaNi5 (PBE-GGA, Alexandria via LeMat-Bulk).

a = 6.1182 Å, b = 6.1182 Å, c = 6.1182 Å
α = 85.31°, β = 122.74°, γ = 122.74°
Atoms (fractional coordinates):
Ac  0.5000  0.2356  0.7356
Ac  0.5000  0.7356  0.2356
Ga  0.0000  0.0133  0.0133
Ni  0.4204  0.6959  0.6959
Ni  0.0000  0.6959  0.2755
Ni  0.0000  0.2755  0.6959
Ni  0.5796  0.2755  0.2755
Ni  0.0000  0.2948  0.2948

## Properties
Total magnetization ... 0.0 μB/f.u.
Calculated formation energy ... -1.9 eV per formula unit


# Tb2MgNi12B3

An optimized crystal structure of Tb2MgNi12B3 (PBE-GGA, Alexandria via LeMat-Bulk).

a = 6.9708 Å, b = 6.9708 Å, c = 6.9708 Å
α = 60.05°, β = 60.05°, γ = 60.05°
Atoms (fractional coordinates):
Tb  0.5936  0.5936  0.5936
Tb  0.4064  0.4064  0.4064
Mg  0.0000  0.0000  0.0000
Ni  0.2714  0.2714  0.8770
Ni  0.8502  0.8502  0.4725
Ni  0.4725  0.8502  0.8502
Ni  0.8770  0.2714  0.2714
Ni  0.8502  0.4725  0.8502
Ni  0.2714  0.8770  0.2714
Ni  0.7286  0.7286  0.1230
Ni  0.1498  0.1498  0.5275
Ni  0.5275  0.1498  0.1498
Ni  0.1230  0.7286  0.7286
Ni  0.1498  0.5275  0.1498
Ni  0.7286  0.1230  0.7286
B  0.5000  0.0000  0.0000
B  0.0000  0.5000  0.0000
B  0.0000  0.0000  0.5000

## Properties
Total magnetization ... 0.0 μB/f.u.
Calculated formation energy ... -1.5 eV per formula unit


# RbSrAs2

An optimized crystal structure of RbSrAs2 (PBE-GGA, Alexandria via LeMat-Bulk).

a = 5.4852 Å, b = 5.4852 Å, c = 11.0125 Å
α = 75.58°, β = 75.58°, γ = 90.00°
Atoms (fractional coordinates):
Sr  0.0000  0.0000  0.0000
Sr  0.7500  0.2500  0.5000
As  0.7627  0.1250  0.2500
As  0.9873  0.6250  0.2500
As  0.3750  0.2373  0.7500
As  0.8750  0.0127  0.7500
Rb  0.5000  0.5000  0.0000
Rb  0.2500  0.7500  0.5000

## Properties
Total magnetization ... 0.0 μB/f.u.
Polymorph energy (0 for the lowest one) ... 13 meV per atom
Calculated formation energy ... -1.1 eV per formula unit


# PdPbO2

An optimized crystal structure of PdPbO2 (PBE-GGA, Alexandria via LeMat-Bulk).

a = 4.6757 Å, b = 4.6757 Å, c = 7.0702 Å
α = 70.69°, β = 70.69°, γ = 90.00°
Atoms (fractional coordinates):
Pb  0.0000  0.0000  0.0000
Pb  0.7500  0.2500  0.5000
O  0.5497  0.1250  0.2500
O  0.2003  0.6250  0.2500
O  0.3750  0.4503  0.7500
O  0.8750  0.7997  0.7500
Pd  0.5000  0.5000  0.0000
Pd  0.2500  0.7500  0.5000

## Properties
Total magnetization ... 0.0 μB/f.u.
Raw formation energy ... -376 meV per atom


# CaScMo2

An optimized crystal structure of CaScMo2 (PBE-GGA, Alexandria via LeMat-Bulk).

a = 4.7785 Å, b = 2.8851 Å, c = 6.4424 Å
α = 76.08°, β = 90.00°, γ = 90.00°
Atoms (fractional coordinates):
Sc  0.5000  0.2500  0.2500
Mo  0.0000  0.9529  0.0645
Mo  0.0000  0.5471  0.4355
Ca  0.5000  0.7500  0.7500

## Properties
Total magnetization ... 0.0 μB/f.u.
Polymorph energy (0 for the lowest one) ... 275 meV per atom
Calculated formation energy ... 1.9 eV per formula unit


# CsPuBr2Cl

An optimized crystal structure of CsPuBr2Cl (PBE-GGA, Alexandria via LeMat-Bulk).

a = 8.3453 Å, b = 8.3453 Å, c = 8.1342 Å
α = 120.86°, β = 120.86°, γ = 90.00°
Atoms (fractional coordinates):
Cs  0.7498  0.2498  0.4996
Cs  0.2498  0.7498  0.4996
Pu  0.0004  0.0004  0.0008
Pu  0.5004  0.5004  0.0008
Br  0.2809  0.7809  0.9997
Br  0.7809  0.7188  0.9997
Br  0.7188  0.2188  0.9997
Br  0.2188  0.2809  0.9997
Cl  0.7503  0.7503  0.5007
Cl  0.2503  0.2503  0.5007

## Properties
Total magnetization ... 6.0 μB/f.u.
Raw formation energy ... -1659 meV per atom


# Ca3Ag6Sn5

An optimized crystal structure of Ca3Ag6Sn5 (PBE-GGA, Alexandria via LeMat-Bulk).

a = 4.7471 Å, b = 8.8594 Å, c = 8.8594 Å
α = 70.17°, β = 74.46°, γ = 74.46°
Atoms (fractional coordinates):
Ca  0.0000  0.0000  0.0000
Ca  0.6994  0.3006  0.3006
Ca  0.3006  0.6994  0.6994
Ag  0.5000  0.6791  0.3209
Ag  0.5000  0.3209  0.6791
Ag  0.8678  0.4139  0.8505
Ag  0.1322  0.5861  0.1495
Ag  0.8678  0.8505  0.4139
Ag  0.1322  0.1495  0.5861
Sn  0.6627  0.6945  0.9800
Sn  0.3372  0.3055  0.0200
Sn  0.6627  0.9800  0.6945
Sn  0.3372  0.0200  0.3055
Sn  0.0000  0.5000  0.5000

## Properties
Total magnetization ... 0.0 μB/f.u.
Calculated formation energy ... -4.7 eV per formula unit